Pr2Nd12Er5 (GGA-PBE, relaxed); energy relative to the elements = 98 meV per atom; D(E_F) = 25.731 states/eV/cell; space group = C2/m, No. 12; mass density = 7.3 g cm⁻³; excess energy over the best structure of this formula in the dataset = 0.0 kJ per mole of atoms
1.0
11.760 0.000 0.000
-5.880 8.974 1.228
0.000 -2.179 5.861
Nd Er Pr
12 5 2
Direct
0.542 0.602 0.799
0.856 0.209 0.614
0.353 0.209 0.614
0.458 0.398 0.201
0.123 0.247 0.997
0.558 0.116 0.274
0.877 0.753 0.003
0.144 0.791 0.386
0.647 0.791 0.386
0.061 0.602 0.799
0.442 0.884 0.726
0.939 0.398 0.201
0.786 0.571 0.452
0.214 0.429 0.548
0.322 0.644 0.142
0.000 0.000 0.500
0.678 0.356 0.858
0.226 0.000 0.000
0.774 0.000 0.000

K3Ce3IrS8 (GGA-PBE, relaxed); D(E_F) = 13.265 states/eV/cell; space group = R-3m, No. 166; mass density = 3.9 g cm⁻³; raw formation energy = -1.45 eV/atom
1.0
8.012 0.000 0.000
-4.006 6.939 -0.030
0.000 -4.594 7.557
S K Ce Ir
8 3 3 1
Direct
0.790 0.025 0.314
0.210 0.975 0.686
0.264 0.528 0.291
0.790 0.580 0.314
0.235 0.024 0.314
0.736 0.472 0.709
0.210 0.420 0.686
0.765 0.976 0.686
0.000 0.500 0.000
0.000 0.000 0.000
0.500 0.500 0.000
0.500 0.000 0.500
0.500 0.500 0.500
0.000 0.500 0.500
0.000 0.000 0.500

CrTc2As4 (GGA-PBE, relaxed); energy relative to the elements = -237 meV per atom; D(E_F) = 2.813 states/eV/cell; space group = C2/m, No. 12; mass density = 7.7 g cm⁻³; excess energy over the best structure of this formula in the dataset = 0.0 kJ per mole of atoms
1.0
3.140 0.000 0.000
0.000 6.371 0.268
-1.570 -2.823 5.791
Cr Tc As
1 2 4
Direct
0.000 0.000 0.000
0.254 0.309 0.507
0.746 0.691 0.493
0.405 0.693 0.811
0.150 0.864 0.300
0.595 0.307 0.189
0.850 0.136 0.700

Dy3Pt2Rh (GGA-PBE, relaxed); energy relative to the elements = -1115 meV per atom; D(E_F) = 4.234 states/eV/cell; space group = Cmmm, No. 65; mass density = 13.0 g cm⁻³
1.0
4.918 0.000 0.019
2.459 7.382 0.010
-0.027 0.000 6.904
Dy Rh Pt
6 2 4
Direct
0.832 0.336 0.247
0.832 0.336 0.753
0.500 0.000 0.248
0.168 0.664 0.247
0.168 0.664 0.753
0.500 0.000 0.752
0.669 0.661 0.000
0.331 0.339 0.000
0.000 0.000 0.000
0.335 0.330 0.500
0.000 0.000 0.500
0.665 0.670 0.500

YTc2Pb (GGA-PBE, relaxed); energy relative to the elements = 45 meV per atom; D(E_F) = 2.612 states/eV/cell; space group = P4mm, No. 99; mass density = 9.9 g cm⁻³
1.0
3.160 0.009 0.000
-0.008 3.160 0.000
0.000 0.000 8.251
Pb Y Tc
1 1 2
Direct
0.500 0.500 0.791
0.000 0.000 0.455
0.000 0.000 0.043
0.500 0.500 0.210

Mn2Si2Te (GGA-PBE, relaxed); D(E_F) = 3.575 states/eV/cell; space group = I4/mmm, No. 139; mass density = 6.6 g cm⁻³; raw formation energy = -0.05 eV/atom
1.0
-0.279 -0.708 -3.403
0.842 -3.326 0.623
-5.634 -3.370 -0.623
Te Si Mn
1 2 2
Direct
0.000 0.000 0.000
0.250 0.750 0.500
0.750 0.250 0.500
0.615 0.615 0.769
0.385 0.385 0.231

Li2YInBr6 (GGA-PBE, relaxed); D(E_F) = 0.000 states/eV/cell; space group = R3, No. 146; mass density = 3.8 g cm⁻³; raw formation energy = -1.47 eV/atom
1.0
7.285 0.000 0.001
3.643 6.308 0.000
3.643 2.103 6.659
Br Y Li In
6 1 2 1
Direct
0.913 0.593 0.235
0.165 0.341 0.755
0.341 0.740 0.755
0.740 0.164 0.755
0.593 0.259 0.235
0.259 0.913 0.235
0.323 0.323 0.031
0.517 0.517 0.449
0.008 0.008 0.976
0.804 0.804 0.588

RbTc3Pt (GGA-PBE, relaxed); energy relative to the elements = 3228 meV per atom; D(E_F) = 9.036 states/eV/cell; space group = Pm-3m, No. 221; mass density = 9.9 g cm⁻³; excess energy over the best structure of this formula in the dataset = 129.8 kJ per mole of atoms
1.0
-1.327 3.758 -2.263
-0.620 -2.501 -3.790
-4.342 -0.791 1.233
Rb Pt Tc
1 1 3
Direct
0.000 0.000 0.000
0.500 0.500 0.500
0.000 0.500 0.000
0.500 0.000 0.000
0.000 0.000 0.500

K4Y3GaS8 (GGA-PBE, relaxed); space group = R-3m, No. 166; mass density = 3.1 g cm⁻³; raw formation energy = -1.58 eV/atom
1.0
7.973 0.000 0.000
0.000 8.674 0.481
-3.987 -3.979 5.644
S K Ga Y
8 4 1 3
Direct
0.777 0.304 0.553
0.223 0.696 0.447
0.265 0.296 0.531
0.251 0.304 0.028
0.749 0.696 0.972
0.223 0.696 0.972
0.735 0.704 0.469
0.777 0.304 0.028
0.000 0.000 0.500
0.500 0.000 0.500
0.500 0.000 0.000
0.000 0.000 0.000
0.000 0.500 0.000
0.500 0.500 0.000
0.000 0.500 0.500
0.500 0.500 0.500

Cd2P2Pb (GGA-PBE, relaxed); energy relative to the elements = 169 meV per atom; D(E_F) = 0.858 states/eV/cell; space group = I4/mmm, No. 139; mass density = 7.1 g cm⁻³; excess energy over the best structure of this formula in the dataset = 0.0 kJ per mole of atoms
1.0
-3.122 -2.776 0.606
0.806 -0.003 4.143
-5.364 3.520 3.196
Cd Pb P
2 1 2
Direct
0.250 0.750 0.500
0.750 0.250 0.500
0.000 0.000 0.000
0.615 0.615 0.771
0.385 0.385 0.229

Rb2HoRe3O12 (GGA-PBE, relaxed); D(E_F) = 5.181 states/eV/cell; space group = R-3m, No. 166; mass density = 6.1 g cm⁻³; raw formation energy = -1.94 eV/atom
1.0
-2.810 -4.823 -5.146
-4.411 -5.846 2.001
-7.401 -0.173 -1.682
O Ho Re Rb
12 1 3 2
Direct
0.928 0.928 0.352
0.072 0.072 0.648
0.928 0.352 0.928
0.352 0.928 0.928
0.072 0.648 0.072
0.648 0.072 0.072
0.304 0.930 0.304
0.930 0.304 0.304
0.696 0.070 0.696
0.696 0.696 0.070
0.070 0.696 0.696
0.304 0.304 0.930
0.000 0.000 0.000
0.000 0.000 0.500
0.500 0.000 0.000
0.000 0.500 0.000
0.383 0.383 0.383
0.617 0.617 0.617

Ce2HgBi3 (GGA-PBE, relaxed); energy relative to the elements = -512 meV per atom; D(E_F) = 8.917 states/eV/cell; space group = P-4m2, No. 115; mass density = 10.1 g cm⁻³; excess energy over the best structure of this formula in the dataset = 5.4 kJ per mole of atoms
1.0
4.527 0.000 0.000
0.000 4.527 0.000
0.000 0.000 8.878
Ce Bi Hg
2 3 1
Direct
0.000 0.500 0.293
0.500 0.000 0.707
0.500 0.000 0.341
0.000 0.500 0.659
0.000 0.000 0.000
0.500 0.500 0.000

Np3ScPt12 (GGA-PBE, relaxed); energy relative to the elements = -710 meV per atom; D(E_F) = 41.464 states/eV/cell; space group = P4/mmm, No. 123; mass density = 18.4 g cm⁻³
1.0
4.107 0.000 0.000
0.000 4.107 0.000
0.000 0.000 16.570
Pt Np Sc
12 3 1
Direct
0.500 0.500 0.754
0.500 0.000 0.119
0.000 0.500 0.372
0.000 0.500 0.119
0.500 0.500 0.246
0.500 0.000 0.881
0.500 0.000 0.372
0.500 0.000 0.628
0.000 0.500 0.881
0.000 0.500 0.628
0.500 0.500 0.000
0.500 0.500 0.500
0.000 0.000 0.500
0.000 0.000 0.245
0.000 0.000 0.755
0.000 0.000 0.000

MgCoMo2 (GGA-PBE, relaxed); energy relative to the elements = 177 meV per atom; D(E_F) = 3.076 states/eV/cell; space group = P4mm, No. 99; mass density = 7.6 g cm⁻³
1.0
2.730 0.000 0.000
0.000 2.730 0.000
0.000 0.000 8.043
Co Mg Mo
1 1 2
Direct
0.000 0.000 0.488
0.500 0.500 0.718
0.500 0.500 0.288
0.000 0.000 0.006

Dy2TaS6 (GGA-PBE, relaxed); D(E_F) = 12.063 states/eV/cell; space group = P4_2/mnm, No. 136; mass density = 5.1 g cm⁻³; raw formation energy = -1.32 eV/atom
1.0
6.210 0.000 0.000
0.000 6.210 0.000
0.000 0.000 11.693
S Dy Ta
12 4 2
Direct
0.807 0.193 0.851
0.307 0.307 0.351
0.693 0.693 0.649
0.784 0.216 0.500
0.693 0.693 0.351
0.807 0.193 0.149
0.216 0.784 0.500
0.193 0.807 0.851
0.716 0.716 0.000
0.284 0.284 0.000
0.307 0.307 0.649
0.193 0.807 0.149
0.000 0.000 0.330
0.500 0.500 0.170
0.500 0.500 0.830
0.000 0.000 0.670
0.500 0.500 0.500
0.000 0.000 0.000

CuRe2Au (GGA-PBE, relaxed); energy relative to the elements = 380 meV per atom; D(E_F) = 2.019 states/eV/cell; space group = C2/m, No. 12; mass density = 17.5 g cm⁻³; excess energy over the best structure of this formula in the dataset = 19.7 kJ per mole of atoms
1.0
4.917 0.002 0.003
4.148 2.641 0.003
0.780 0.227 4.621
Au Cu Re
1 1 2
Direct
0.750 0.750 0.750
0.250 0.250 0.250
0.504 0.504 0.491
0.996 0.996 0.009

InFe3Ge (GGA-PBE, relaxed); energy relative to the elements = 1531 meV per atom; D(E_F) = 11.675 states/eV/cell; space group = Pm-3m, No. 221; mass density = 5.4 g cm⁻³; excess energy over the best structure of this formula in the dataset = 80.7 kJ per mole of atoms
1.0
4.773 0.000 0.000
0.000 4.773 0.000
0.000 0.000 4.773
Ge In Fe
1 1 3
Direct
0.500 0.500 0.500
0.000 0.000 0.000
0.000 0.500 0.000
0.000 0.000 0.500
0.500 0.000 0.000

Yb2AsAu (GGA-PBE, relaxed); energy relative to the elements = -1030 meV per atom; space group = Fm-3m, No. 225; mass density = 11.0 g cm⁻³
1.0
5.086 0.000 0.000
2.543 4.405 0.000
2.543 1.468 4.153
Yb As Au
2 1 1
Direct
0.750 0.750 0.750
0.250 0.250 0.250
0.500 0.500 0.500
0.000 0.000 0.000

TaAgSb (GGA-PBE, relaxed); D(E_F) = 2.383 states/eV/cell; space group = P3m1, No. 156; mass density = 11.0 g cm⁻³; raw formation energy = 0.32 eV/atom; excess energy over the best structure of this formula in the dataset = 0.0 kJ per mole of atoms
1.0
-0.674 1.910 2.378
-1.835 -0.055 -2.528
-4.078 -5.269 3.075
Ag Sb Ta
1 1 1
Direct
0.000 0.000 0.983
0.667 0.333 0.349
0.333 0.667 0.668

PuZnIr2 (GGA-PBE, relaxed); energy relative to the elements = -330 meV per atom; D(E_F) = 7.013 states/eV/cell; space group = P4/mmm, No. 123; mass density = 17.0 g cm⁻³
1.0
-2.523 2.209 1.755
0.597 -2.169 3.586
3.099 2.667 1.097
Ir Zn Pu
2 1 1
Direct
0.000 0.500 0.000
0.000 0.000 0.500
0.500 0.500 0.500
0.500 0.000 0.000